A plane-wave DFT calculation with GGA-PBE was carried out for a relaxed Li2CrNi5 crystal.

The magnetization is 0.65 μB per formula unit. As for the density of states at the Fermi level: 1.4380 states/eV per atom. The volume is 11.46 Å³/atom. For the formation energy from the elements, the calculation gives 24 meV/atom.

Cell: 3.561 3.561 14.464 Å, 90.00 90.00 90.00°
Space group I4/mmm (No. 139)
Unique sites:
Li1 0.000 0.000 0.247 (multiplicity 4)
Cr1 0.000 0.000 0.500 (multiplicity 2)
Ni1 0.000 0.000 0.000 (multiplicity 2)
Ni2 0.000 0.500 0.116 (multiplicity 8)